Here is a relaxed Gd5N crystal from OQMD. Energies are from PBE-GGA.

a b c (Å): 6.152 6.152 6.061
angles (deg): 90.00 90.00 120.00
Element x y z (fractional)
Gd1 0.000 0.500 0.000
Gd2 0.333 0.667 0.500
Gd3 0.500 0.000 0.000
Gd4 0.500 0.500 0.000
Gd5 0.667 0.333 0.500
N1 0.000 0.000 0.500

## Properties
**Final energy**: -3.872 eV/atom
**Density**: 6.69 g/cm3
**Space group**: P6/mmm